Entry 1:
Entry from OQMD: crystalline InGaCu at its relaxed geometry (PBE).

Results
Theoretical density in g/cm³: 7.16

Lattice parameters (Å, degrees): 4.3156 4.3156 6.1805 90.00 90.00 90.00
Element x y z (fractional)
In 0.0000 0.0000 0.2500
In 0.0000 0.0000 0.7500
Ga 0.5000 0.5000 0.2500
Ga 0.5000 0.5000 0.7500
Cu 0.0000 0.5000 0.0000
Cu 0.5000 0.0000 0.5000



Entry 2:
Entry from OQMD: crystalline Er2MgTc3 at its relaxed geometry (PBE).

Results
Theoretical density in g/cm³: 9.56

Lattice parameters (Å, degrees): 5.3076 5.3076 9.2994 90.00 90.00 120.00
Element x y z (fractional)
Er 0.3333 0.6667 0.0738
Er 0.3333 0.6667 0.4262
Er 0.6667 0.3333 0.5738
Er 0.6667 0.3333 0.9262
Mg 0.0000 0.0000 0.0000
Mg 0.0000 0.0000 0.5000
Tc 0.1706 0.3412 0.7500
Tc 0.1706 0.8294 0.7500
Tc 0.3412 0.1706 0.2500
Tc 0.6588 0.8294 0.7500
Tc 0.8294 0.1706 0.2500
Tc 0.8294 0.6588 0.2500



Entry 3:
Entry from OQMD: crystalline TmAs2Pt8 at its relaxed geometry (PBE).

Results
Theoretical density in g/cm³: 16.62

Lattice parameters (Å, degrees): 6.3992 6.3992 9.6457 125.30 125.30 36.83
Element x y z (fractional)
Tm 0.0000 0.0000 0.0000
As 0.4298 0.4298 0.2024
As 0.5702 0.5702 0.7976
Pt 0.0318 0.0318 0.3821
Pt 0.2782 0.2782 0.8989
Pt 0.3236 0.3236 0.6517
Pt 0.3284 0.3284 0.3560
Pt 0.6716 0.6716 0.6440
Pt 0.6764 0.6764 0.3483
Pt 0.7218 0.7218 0.1011
Pt 0.9682 0.9682 0.6179



Entry 4:
Entry from OQMD: crystalline TbDyIn2Ni4 at its relaxed geometry (PBE).

Results
Theoretical density in g/cm³: 9.05

Lattice parameters (Å, degrees): 4.0145 5.1098 7.0286 90.00 90.00 90.00
Element x y z (fractional)
Tb 0.0000 0.0000 0.0000
Dy 0.0000 0.5000 0.4641
In 0.5000 0.0000 0.3784
In 0.5000 0.5000 0.0855
Ni 0.0000 0.0000 0.6200
Ni 0.0000 0.5000 0.8426
Ni 0.5000 0.2505 0.7310
Ni 0.5000 0.7495 0.7310



Number 1: electronic total energy -3.170 eV per atom. Number 2: electronic total energy -7.110 eV per atom. Number 3: electronic total energy -6.109 eV per atom. Number 4: electronic total energy -5.086 eV per atom.